Density functional theory data (PBE) for a relaxed MnCdGeCl6 crystal.

Output
ΔE_f (raw) (eV per atom): -0.9521
Total DFT energy (no corrections) (Ry/atom): -0.281
Spin magnetization (μB per atom): 0.5556

a = 6.232 Å, b = 6.232 Å, c = 11.768 Å
α = 90.00°, β = 90.00°, γ = 90.00°
Fractional coordinates of all 18 atoms:
Mn  0.500  0.500  0.167
Mn  0.000  0.000  0.667
Cd  0.500  0.500  0.833
Cd  0.000  0.000  0.333
Ge  0.500  0.500  0.500
Ge  0.000  0.000  0.000
Cl  0.191  0.809  0.507
Cl  0.809  0.191  0.507
Cl  0.309  0.309  0.007
Cl  0.691  0.691  0.007
Cl  0.205  0.795  0.168
Cl  0.795  0.205  0.168
Cl  0.295  0.295  0.668
Cl  0.705  0.705  0.668
Cl  0.808  0.192  0.825
Cl  0.192  0.808  0.825
Cl  0.692  0.692  0.325
Cl  0.308  0.308  0.325